Material: BaTlPt
Method: DFT, PBE-GGA
State: optimized geometry

Properties
Total energy: -3.888 eV per atom
Magnetization: 0.00 Bohr magnetons per cell

```
data_BaTlPt
_cell_length_a 7.285
_cell_length_b 7.285
_cell_length_c 7.285
_cell_angle_alpha 90.00
_cell_angle_beta 90.00
_cell_angle_gamma 90.00
_space_group_name_H-M_alt 'F -4 3 m'
_space_group_IT_number 216
_space_group_name_Hall 'F -4 2 3'
loop_
_atom_site_label
_atom_site_type_symbol
_atom_site_fract_x
_atom_site_fract_y
_atom_site_fract_z
Ba1 Ba 0.000 0.000 0.000
Tl1 Tl 0.000 0.000 0.500
Pt1 Pt 0.250 0.250 0.250
```


Material: BaTlPt2
Method: DFT, PBE-GGA
State: optimized geometry

Properties
Total energy: -4.520 eV per atom
Magnetization: 0.01 Bohr magnetons per cell

```
data_BaTlPt2
_cell_length_a 4.8359
_cell_length_b 4.8359
_cell_length_c 5.4078
_cell_angle_alpha 90.00
_cell_angle_beta 90.00
_cell_angle_gamma 120.00
_space_group_name_H-M_alt 'P -6 m 2'
_space_group_IT_number 187
_space_group_name_Hall 'P -6 2'
loop_
_atom_site_label
_atom_site_type_symbol
_atom_site_fract_x
_atom_site_fract_y
_atom_site_fract_z
Ba1 Ba 0.0000 0.0000 0.0000
Tl1 Tl 0.6667 0.3333 0.5000
Pt1 Pt 0.3333 0.6667 0.2585
```